P) Material: Th2CN
Method: DFT, PBE
State: optimized geometry

Lattice parameters (Å, degrees): 6.447 6.473 8.370 104.91 104.78 109.64
Element x y z (fractional)
Th: 0.686 0.938 0.375
N: 0.565 0.815 0.630
Th: 0.937 0.188 0.875
Th: 0.562 0.313 0.125
Th: 0.438 0.687 0.875
Th: 0.811 0.563 0.625
N: 0.690 0.440 0.880
Th: 0.063 0.812 0.125
C: 0.939 0.689 0.377
C: 0.186 0.936 0.873
N: 0.435 0.185 0.370
C: 0.061 0.311 0.623
C: 0.814 0.064 0.127
Th: 0.314 0.062 0.625
Th: 0.189 0.437 0.375
N: 0.310 0.560 0.120

***

Q) Material: Th2CN
Method: DFT, PBE
State: optimized geometry

Lattice parameters (Å, degrees): 3.640 3.640 6.693 74.22 74.22 60.00
Element x y z (fractional)
Th: 0.253 0.253 0.240
N: 0.497 0.497 0.510
Th: 0.082 0.082 0.754
C: 0.668 0.668 0.997

***

What should be chosen as the most stable of them? Choose P).

***

P) Material: Th2CN
Method: DFT, PBE
State: optimized geometry

Lattice parameters (Å, degrees): 4.275 4.276 6.057 90.00 89.97 90.00
Element x y z (fractional)
Th: 0.625 0.500 0.454
C: 0.625 0.000 0.625
Th: 0.125 0.000 0.796
N: 0.125 0.500 0.625

***

Q) Material: Th2CN
Method: DFT, PBE
State: optimized geometry

Lattice parameters (Å, degrees): 6.431 6.431 6.431 33.88 33.88 33.88
Element x y z (fractional)
C: 0.000 0.000 0.000
Th: 0.250 0.250 0.250
N: 0.500 0.500 0.500
Th: 0.750 0.750 0.750

***

What should be chosen as the most stable of them? Choose Q).

***

P) Material: Ti2C3N6
Method: DFT, PBE
State: optimized geometry

Lattice parameters (Å, degrees): 6.977 3.294 5.023 90.00 83.81 76.34
Element x y z (fractional)
Ti: 0.259 0.870 0.939
N: 0.311 0.345 0.653
N: 0.383 0.309 0.162
N: 0.973 0.013 0.747
Ti: 0.741 0.130 0.061
N: 0.617 0.691 0.838
N: 0.689 0.655 0.347
C: 0.000 0.000 0.500
C: 0.343 0.329 0.410
N: 0.027 0.987 0.253
C: 0.657 0.671 0.590

***

Q) Material: Ti2C3N6
Method: DFT, PBE
State: optimized geometry

Lattice parameters (Å, degrees): 10.217 5.615 29.090 90.00 161.49 74.05
Element x y z (fractional)
Ti: 0.990 0.006 0.664
Ti: 0.010 0.994 0.336
N: 0.824 0.400 0.150
N: 0.987 0.619 0.454
Ti: 0.990 0.004 0.164
N: 0.987 0.394 0.954
N: 0.850 0.377 0.574
C: 0.000 0.684 0.750
N: 0.150 0.623 0.426
C: 0.000 0.316 0.250
N: 0.176 0.600 0.850
C: 0.056 0.629 0.436
N: 0.013 0.606 0.046
C: 0.056 0.314 0.936
N: 0.176 0.224 0.350
C: 0.944 0.686 0.064
N: 0.824 0.776 0.650
Ti: 0.010 0.996 0.836
N: 0.150 0.227 0.926
C: 0.944 0.371 0.564
N: 0.850 0.773 0.074
N: 0.013 0.381 0.546

***

What should be chosen as the most stable of them? Choose Q).

***

P) Material: Ti4CN3
Method: DFT, PBE
State: optimized geometry

Lattice parameters (Å, degrees): 10.009 10.009 10.009 17.38 17.38 17.38
Element x y z (fractional)
Ti: 0.626 0.626 0.626
N: 0.000 0.000 0.000
N: 0.251 0.251 0.251
Ti: 0.374 0.374 0.374
Ti: 0.875 0.875 0.875
N: 0.749 0.749 0.749
C: 0.500 0.500 0.500
Ti: 0.125 0.125 0.125

***

Q) Material: Ti4CN3
Method: DFT, PBE
State: optimized geometry

Lattice parameters (Å, degrees): 5.229 5.237 6.041 90.00 90.00 109.33
Element x y z (fractional)
Ti: 0.001 0.245 0.123
Ti: 0.506 0.750 0.628
Ti: 0.994 0.250 0.628
N: 0.250 0.000 0.624
Ti: 0.999 0.755 0.877
C: 0.250 0.000 0.126
N: 0.250 0.500 0.376
Ti: 0.501 0.245 0.877
N: 0.250 0.500 0.874
C: 0.750 0.000 0.874
Ti: 0.499 0.755 0.123
Ti: 0.494 0.250 0.372
N: 0.750 0.500 0.624
Ti: 0.006 0.750 0.372
N: 0.750 0.000 0.376
N: 0.750 0.500 0.126

***

What should be chosen as the most stable of them? Choose Q).

***

P) Material: Tl2CN
Method: DFT, PBE
State: optimized geometry

Lattice parameters (Å, degrees): 4.577 4.577 4.577 60.00 60.00 60.00
Element x y z (fractional)
C: 0.000 0.000 0.000
Tl: 0.750 0.750 0.750
N: 0.500 0.500 0.500
Tl: 0.250 0.250 0.250

***

Q) Material: Tl2CN
Method: DFT, PBE
State: optimized geometry

Lattice parameters (Å, degrees): 5.334 5.334 6.464 65.63 65.63 90.00
Element x y z (fractional)
N: 0.750 0.250 0.500
Tl: 0.375 0.377 0.750
N: 0.000 0.000 0.000
C: 0.250 0.750 0.500
C: 0.500 0.500 0.000
Tl: 0.623 0.125 0.250
Tl: 0.875 0.873 0.750
Tl: 0.127 0.625 0.250

***

What should be chosen as the most stable of them? Choose Q).

***

P) Material: TlC3N
Method: DFT, PBE
State: optimized geometry

Lattice parameters (Å, degrees): 4.403 4.403 4.403 90.00 90.00 90.00
Element x y z (fractional)
C: 0.000 0.500 0.000
C: 0.500 0.000 0.000
Tl: 0.000 0.000 0.000
N: 0.500 0.500 0.500
C: 0.000 0.000 0.500

***

Q) Material: TlC3N
Method: DFT, PBE
State: optimized geometry

Lattice parameters (Å, degrees): 3.749 3.749 3.749 90.00 90.00 90.00
Element x y z (fractional)
N: 0.000 0.000 0.000
C: 0.000 0.500 0.000
C: 0.000 0.000 0.500
C: 0.500 0.000 0.000
Tl: 0.500 0.500 0.500

***

What should be chosen as the most stable of them? Choose Q).